Compound: La2NdZn2Cu2Si4
Source: OQMD via LeMat-Bulk
Functional: PBE
Structure: relaxed

Summary:
Energy above the lowest structure with this stoichiometry = 9 meV/atom

a b c (Å): 4.177 4.220 24.641
angles (deg): 90.00 90.00 90.00
Space group Immm (No. 71)
Unique sites:
La1 0.000 0.000 0.145
Nd1 0.000 0.500 0.500
Zn1 0.000 0.500 0.250
Cu1 0.000 0.000 0.406
Si1 0.000 0.000 0.310
Si2 0.000 0.500 0.049



Compound: La2NdZn2Cu2Si4
Source: OQMD via LeMat-Bulk
Functional: PBE
Structure: relaxed

Summary:
Energy above the lowest structure with this stoichiometry = 0 meV/atom

a b c (Å): 4.197 4.222 24.348
angles (deg): 90.00 90.00 90.00
Space group Immm (No. 71)
Unique sites:
La1 0.000 0.000 0.152
Nd1 0.000 0.500 0.500
Zn1 0.000 0.000 0.402
Cu1 0.000 0.500 0.250
Si1 0.000 0.000 0.302
Si2 0.000 0.500 0.048



Compound: LaNdCu4Sn2
Source: OQMD via LeMat-Bulk
Functional: PBE
Structure: relaxed

a b c (Å): 4.5734 4.5734 8.9775
angles (deg): 90.00 90.00 120.00
Space group P-6m2 (No. 187)
Unique sites:
La1 0.0000 0.0000 0.0000
Nd1 0.3333 0.6667 0.5000
Cu1 0.0000 0.0000 0.3495
Cu2 0.3333 0.6667 0.1560
Sn1 0.6667 0.3333 0.2531



Compound: La2NdCu4Sn4
Source: OQMD via LeMat-Bulk
Functional: PBE
Structure: relaxed

a b c (Å): 4.654 7.013 15.219
angles (deg): 90.00 90.00 90.00
Space group Immm (No. 71)
Unique sites:
La1 0.000 0.000 0.134
Nd1 0.000 0.500 0.000
Cu1 0.000 0.183 0.332
Sn1 0.000 0.298 0.500
Sn2 0.000 0.500 0.216



Compound: LaCu2Ni3
Source: OQMD via LeMat-Bulk
Functional: PBE
Structure: relaxed

Summary:
DFT formation energy = -0.268 eV/atom

a b c (Å): 5.0788 5.0788 3.9519
angles (deg): 90.00 90.00 120.00
Space group P6/mmm (No. 191)
Unique sites:
La1 0.0000 0.0000 0.0000
Cu1 0.3333 0.6667 0.0000
Ni1 0.0000 0.5000 0.5000



Compound: LaCu2Ni2
Source: OQMD via LeMat-Bulk
Functional: PBE
Structure: relaxed

Summary:
Energy above the lowest structure with this stoichiometry = 33 meV/atom
DFT formation energy = -0.150 eV/atom

a b c (Å): 3.974 3.974 10.224
angles (deg): 90.00 90.00 90.00
Space group P4/nmm (No. 129, origin choice 2)
Unique sites:
La1 0.250 0.250 0.247
Cu1 0.250 0.250 0.868
Cu2 0.250 0.750 0.500
Ni1 0.250 0.250 0.638
Ni2 0.250 0.750 0.000



Compound: La2Cu5Ni5
Source: OQMD via LeMat-Bulk
Functional: PBE
Structure: relaxed

Summary:
DFT formation energy = -0.260 eV/atom

a b c (Å): 4.074 5.020 8.688
angles (deg): 90.00 90.00 90.00
Space group Pmmm (No. 47)
Unique sites:
La1 0.000 0.000 0.000
La2 0.000 0.500 0.500
Cu1 0.500 0.000 0.500
Cu2 0.500 0.251 0.249
Ni1 0.000 0.000 0.335
Ni2 0.000 0.500 0.162
Ni3 0.500 0.500 0.000



Compound: LaCu2Ni2
Source: OQMD via LeMat-Bulk
Functional: PBE
Structure: relaxed

Summary:
Energy above the lowest structure with this stoichiometry = 0 meV/atom
DFT formation energy = -0.183 eV/atom

a b c (Å): 3.887 3.887 10.607
angles (deg): 90.00 90.00 90.00
Space group I4/mmm (No. 139)
Unique sites:
La1 0.000 0.000 0.000
Cu1 0.000 0.500 0.250
Ni1 0.000 0.000 0.389



Compound: La2PrCu2Si4Ni2
Source: OQMD via LeMat-Bulk
Functional: PBE
Structure: relaxed

Summary:
Energy above the lowest structure with this stoichiometry = 26 meV/atom

a b c (Å): 4.111 4.224 23.831
angles (deg): 90.00 90.00 90.00
Space group Immm (No. 71)
Unique sites:
La1 0.000 0.000 0.149
Pr1 0.000 0.500 0.500
Cu1 0.000 0.500 0.251
Si1 0.000 0.000 0.305
Si2 0.000 0.500 0.051
Ni1 0.000 0.000 0.403



Compound: La2PrCu2Si4Ni2
Source: OQMD via LeMat-Bulk
Functional: PBE
Structure: relaxed

Summary:
Energy above the lowest structure with this stoichiometry = 0 meV/atom

a b c (Å): 4.153 4.191 23.829
angles (deg): 90.00 90.00 90.00
Space group Immm (No. 71)
Unique sites:
La1 0.000 0.000 0.152
Pr1 0.000 0.500 0.500
Cu1 0.000 0.000 0.402
Si1 0.000 0.000 0.298
Si2 0.000 0.500 0.050
Ni1 0.000 0.500 0.251



Compound: LaCuSiNi
Source: OQMD via LeMat-Bulk
Functional: PBE
Structure: relaxed

Summary:
Energy above the lowest structure with this stoichiometry = 0 meV/atom

a b c (Å): 6.505 6.505 6.505
angles (deg): 90.00 90.00 90.00
Space group F-43m (No. 216)
Unique sites:
La1 0.000 0.000 0.000
Cu1 0.250 0.250 0.750
Si1 0.000 0.000 0.500
Ni1 0.250 0.250 0.250



Compound: LaCuSi2Ni
Source: OQMD via LeMat-Bulk
Functional: PBE
Structure: relaxed

a b c (Å): 4.127 4.127 9.737
angles (deg): 90.00 90.00 90.00
Space group I-4m2 (No. 119)
Unique sites:
La1 0.000 0.000 0.000
Cu1 0.000 0.500 0.750
Si1 0.000 0.000 0.374
Ni1 0.000 0.500 0.250



Computed magnetic moment (μB per formula unit) in order:
0.01, 0.27, 0.01, 0.00, 0.01, 0.00, 0.00, 0.01, 0.00, 0.02, 0.00, 0.00
Computed DFT total energy (eV per cell) in order:
-105.84, -106.04, -35.68, -103.07, -30.67, -48.48, -59.38, -48.81, -124.49, -125.07, -82.00, -56.94
Computed calculated density (g/cm³) in order:
6.06, 6.10, 7.91, 7.70, 8.32, 7.89, 8.31, 7.94, 6.22, 6.21, 6.98, 6.36